First-principles (PBE-GGA) data for an optimized crystal structure of VCo3H, as listed in Alexandria via LeMat-Bulk.

Calculated values
Energy above the lowest structure with this stoichiometry   0.663 eV/atom
E   -6.2439 eV per atom
SG   Cmcm (63)
Total moment   0.407 μB/atom

a = 6.378 Å, b = 6.378 Å, c = 4.376 Å
α = 90.00°, β = 90.00°, γ = 135.50°
Fractional coordinates of all 10 atoms:
V 0.187 0.813 0.750
V 0.813 0.187 0.250
Co 0.000 0.000 0.000
Co 0.000 0.000 0.500
Co 0.093 0.402 0.750
Co 0.402 0.093 0.250
Co 0.598 0.907 0.750
Co 0.907 0.598 0.250
H 0.436 0.564 0.750
H 0.564 0.436 0.250

---

First-principles (PBE-GGA) data for an optimized crystal structure of Tb8Nd6Pb, as listed in Alexandria via LeMat-Bulk.

Calculated values
E   -4.5644 eV per atom
SG   P-3 (147)
Total moment   0.000 μB/atom
ΔH_f (0 K)   0.06 eV/atom

a = 9.448 Å, b = 9.448 Å, c = 6.532 Å
α = 90.00°, β = 90.00°, γ = 120.00°
Fractional coordinates of all 15 atoms:
Tb 0.038 0.264 0.318
Tb 0.226 0.962 0.318
Tb 0.264 0.226 0.682
Tb 0.333 0.667 0.350
Tb 0.667 0.333 0.650
Tb 0.736 0.774 0.318
Tb 0.774 0.038 0.682
Tb 0.962 0.736 0.682
Nd 0.090 0.448 0.823
Nd 0.358 0.910 0.823
Nd 0.448 0.358 0.177
Nd 0.552 0.642 0.823
Nd 0.642 0.090 0.177
Nd 0.910 0.552 0.177
Pb 0.000 0.000 0.000

---

Taking the records one at a time from the top gives DOS(E_F) values of 0.852 1.250 states/eV per atom.